The following is a DFT calculation (PBE) of LaBeSN2 after structural relaxation.

Cell and atoms, written as POSCAR:
```
LaBeSN2
1.0
3.948 0.000 0.000
0.000 3.948 0.000
0.000 0.000 4.216
La Be S N
1 1 1 2
Direct
0.000 0.000 0.000
0.500 0.500 0.500
0.500 0.500 0.000
0.000 0.500 0.500
0.500 0.000 0.500
```

* energy above the lowest structure with this stoichiometry: 0 meV/atom
* total moment: 0.65 μB per cell
* formation energy without anion corrections: -0.08 eV per atom